# 1
First-principles (GGA-PBE) data for an optimized crystal structure of NaLaP3, as listed in Alexandria.

abc: 5.5035 5.5035 5.5035
angles: 90.00 90.00 90.00
Fractional coordinates of all 5 atoms:
P 0.0000 0.5000 0.0000
P 0.0000 0.0000 0.5000
P 0.5000 0.0000 0.0000
La 0.0000 0.0000 0.0000
Na 0.5000 0.5000 0.5000

ΔE to the lowest computed polymorph: 160 meV per atom
Calculated density: 2.5 g/cm³
Total magnetization: 0.00 μB/f.u.
Energy of formation: 0.422 eV/atom



# 2
First-principles (GGA-PBE) data for an optimized crystal structure of Be4Cu2Ni, as listed in Alexandria.

abc: 5.4396 4.6762 6.0097
angles: 94.39 63.10 98.94
Fractional coordinates of all 14 atoms:
Be 0.2236 0.5851 0.9586
Be 0.7372 0.5734 0.2439
Be 0.1233 0.0523 0.4934
Be 0.8947 0.2149 0.9191
Be 0.5726 0.1059 0.3865
Be 0.9248 0.7233 0.8464
Be 0.3022 0.0596 0.7975
Be 0.0817 0.6111 0.3505
Ni 0.9937 0.9921 0.1802
Ni 0.5049 0.8425 0.1029
Cu 0.6809 0.8264 0.6289
Cu 0.7357 0.3418 0.6507
Cu 0.4278 0.3248 0.1209
Cu 0.2968 0.4968 0.5706

Calculated density: 5.5 g/cm³
Total magnetization: 0.00 μB/f.u.
Energy of formation: -0.081 eV/atom



# 3
First-principles (GGA-PBE) data for an optimized crystal structure of SrAl2Cu, as listed in Alexandria.

abc: 6.1135 7.1217 15.7721
angles: 90.00 90.00 90.00
Fractional coordinates of all 32 atoms:
Al 0.8213 0.9359 0.0486
Al 0.8213 0.5641 0.0486
Al 0.9886 0.0597 0.2101
Al 0.5114 0.4403 0.7101
Al 0.6787 0.9359 0.5486
Al 0.5114 0.0597 0.7101
Al 0.0114 0.9403 0.7899
Al 0.1787 0.0641 0.9514
Al 0.4886 0.5597 0.2899
Al 0.4886 0.9403 0.2899
Al 0.3213 0.0641 0.4514
Al 0.9886 0.4403 0.2101
Al 0.1787 0.4359 0.9514
Al 0.3213 0.4359 0.4514
Al 0.0114 0.5597 0.7899
Al 0.6787 0.5641 0.5486
Cu 0.5066 0.2500 0.5713
Cu 0.4934 0.7500 0.4287
Cu 0.2286 0.2500 0.8104
Cu 0.9934 0.2500 0.0713
Cu 0.7714 0.7500 0.1896
Cu 0.0066 0.7500 0.9287
Cu 0.2714 0.2500 0.3104
Cu 0.7286 0.7500 0.6896
Sr 0.5115 0.7500 0.8698
Sr 0.3070 0.7500 0.1027
Sr 0.6930 0.2500 0.8973
Sr 0.4885 0.2500 0.1302
Sr 0.9885 0.7500 0.3698
Sr 0.1930 0.7500 0.6027
Sr 0.8070 0.2500 0.3973
Sr 0.0115 0.2500 0.6302

Calculated density: 4.0 g/cm³
Total magnetization: 0.00 μB/f.u.
Energy of formation: -0.240 eV/atom



Copy entry 3 word for word.
First-principles (GGA-PBE) data for an optimized crystal structure of SrAl2Cu, as listed in Alexandria.

abc: 6.1135 7.1217 15.7721
angles: 90.00 90.00 90.00
Fractional coordinates of all 32 atoms:
Al 0.8213 0.9359 0.0486
Al 0.8213 0.5641 0.0486
Al 0.9886 0.0597 0.2101
Al 0.5114 0.4403 0.7101
Al 0.6787 0.9359 0.5486
Al 0.5114 0.0597 0.7101
Al 0.0114 0.9403 0.7899
Al 0.1787 0.0641 0.9514
Al 0.4886 0.5597 0.2899
Al 0.4886 0.9403 0.2899
Al 0.3213 0.0641 0.4514
Al 0.9886 0.4403 0.2101
Al 0.1787 0.4359 0.9514
Al 0.3213 0.4359 0.4514
Al 0.0114 0.5597 0.7899
Al 0.6787 0.5641 0.5486
Cu 0.5066 0.2500 0.5713
Cu 0.4934 0.7500 0.4287
Cu 0.2286 0.2500 0.8104
Cu 0.9934 0.2500 0.0713
Cu 0.7714 0.7500 0.1896
Cu 0.0066 0.7500 0.9287
Cu 0.2714 0.2500 0.3104
Cu 0.7286 0.7500 0.6896
Sr 0.5115 0.7500 0.8698
Sr 0.3070 0.7500 0.1027
Sr 0.6930 0.2500 0.8973
Sr 0.4885 0.2500 0.1302
Sr 0.9885 0.7500 0.3698
Sr 0.1930 0.7500 0.6027
Sr 0.8070 0.2500 0.3973
Sr 0.0115 0.2500 0.6302

Calculated density: 4.0 g/cm³
Total magnetization: 0.00 μB/f.u.
Energy of formation: -0.240 eV/atom